[1]
This record from the Alexandria database describes an optimized crystal structure of Ag4PSe. The functional is PBE.

Symmetry: No. 216
Uncorrected formation energy in eV/atom: 0.482

Cell lengths 5.491, 5.491, 5.491 Å; angles 60.00, 60.00, 60.00 degrees
Sites, in units of the cell vectors:
Ag 0.625 0.625 0.625
Ag 0.625 0.625 0.126
Ag 0.625 0.126 0.625
Ag 0.126 0.625 0.625
Se 0.000 0.000 0.000
P 0.250 0.250 0.250


[2]
This record from the Alexandria database describes an optimized crystal structure of ZrAlPb3. The functional is PBE.

Symmetry: No. 221
Energy of formation from the pure elements in eV/atom: 0.76

Cell lengths 5.348, 5.348, 5.348 Å; angles 90.00, 90.00, 90.00 degrees
Site moments in Bohr magnetons follow the coordinates.
Sites, in units of the cell vectors:
Al 0.000 0.000 0.000  0.02
Zr 0.500 0.500 0.500  0.89
Pb 0.000 0.000 0.500  0.02
Pb 0.000 0.500 0.000  0.00
Pb 0.500 0.000 0.000  -0.01


[3]
This record from the Alexandria database describes an optimized crystal structure of Rb2BaLi. The functional is PBE.

Symmetry: No. 225
Energy of formation from the pure elements in eV/atom: 0.27

Cell lengths 7.145, 7.145, 7.145 Å; angles 60.00, 60.00, 60.00 degrees
Sites, in units of the cell vectors:
Rb 0.750 0.750 0.750
Rb 0.250 0.250 0.250
Li 0.000 0.000 0.000
Ba 0.500 0.500 0.500